[1]
Computed, not measured: a geometry-optimized CaMg3Ga2 structure at the PBE level of DFT.

POSCAR file:
```
CaMg3Ga2
1.0
8.173 -2.252 0.000
8.173 2.252 0.000
-3.918 0.000 7.572
Ca Mg Ga
2 6 4
direct
0.143 0.143 0.075
0.857 0.857 0.925
0.039 0.039 0.366
0.317 0.317 0.541
0.390 0.390 0.275
0.610 0.610 0.725
0.683 0.683 0.459
0.961 0.961 0.634
0.201 0.201 0.707
0.481 0.481 0.843
0.519 0.519 0.157
0.799 0.799 0.293
```

V ... 23.22 Å³/atom
Energy of formation from the pure elements ... -1.46 eV/f.u.
DOS(E_F) ... 4.7 states/eV/cell
Final energy ... -2.383 eV/atom

=====

[2]
Computed, not measured: a geometry-optimized Hf7Ir2Au2 structure at the PBE level of DFT.

POSCAR file:
```
Hf7Ir2Au2
1.0
3.831 -4.943 0.000
3.831 4.943 0.000
0.000 0.000 6.501
Hf Ir Au
7 2 2
direct
0.000 0.000 0.000
0.000 0.500 0.262
0.000 0.500 0.738
0.500 0.000 0.262
0.500 0.000 0.738
0.500 0.500 0.257
0.500 0.500 0.743
0.283 0.717 0.000
0.717 0.283 0.000
0.183 0.183 0.500
0.817 0.817 0.500
```

V ... 22.39 Å³/atom
Energy of formation from the pure elements ... -2.47 eV/f.u.
DOS(E_F) ... 14.3 states/eV/cell
Final energy ... -8.766 eV/atom

=====

> Look up the DOS(E_F) of the first one.

4.7 states/eV/cell

=====

> What is the formula in the first record?

CaMg3Ga2